[1]
The following is a PBE calculation of a relaxed structure of Nd2SmDy4Y2, from the Alexandria database.

Results
Space-group type: C2/m (12)
Calculated formation energy (eV/atom): 0.00
Electronic total energy (eV per atom): -5.07

abc: 3.621 9.572 9.620
angles: 115.24 90.00 100.90
Fractional positions:
Nd1 0.334 0.667 0.999
Nd2 0.666 0.333 0.001
Sm1 0.000 0.000 0.000
Dy1 0.815 0.629 0.664
Dy2 0.185 0.371 0.336
Dy3 0.519 0.038 0.335
Dy4 0.481 0.962 0.665
Y1 0.853 0.706 0.337
Y2 0.147 0.294 0.663


[2]
The following is a PBE calculation of a relaxed structure of Nd4Sm2Dy2Y, from the Alexandria database.

Results
Space-group type: C2/m (12)
Calculated formation energy (eV/atom): 0.02
Electronic total energy (eV per atom): -4.89

abc: 5.137 8.124 8.095
angles: 107.57 90.00 108.43
Fractional positions:
Nd1 0.778 0.555 0.669
Nd2 0.222 0.445 0.331
Nd3 0.555 0.110 0.332
Nd4 0.445 0.890 0.668
Sm1 0.888 0.777 0.331
Sm2 0.112 0.223 0.669
Dy1 0.333 0.666 0.000
Dy2 0.667 0.334 0.000
Y1 0.000 0.000 0.000


[3]
The following is a PBE calculation of a relaxed structure of Nd2Sm3Dy6Y, from the Alexandria database.

Results
Space-group type: C2/m (12)
Calculated formation energy (eV/atom): 0.01
Electronic total energy (eV per atom): -4.80

abc: 6.222 6.222 11.869
angles: 94.99 94.99 119.98
Fractional positions:
Nd1 0.334 0.666 0.000
Nd2 0.666 0.334 0.000
Sm1 0.167 0.833 0.500
Sm2 0.833 0.167 0.500
Sm3 0.500 0.500 0.500
Dy1 0.916 0.583 0.749
Dy2 0.751 0.751 0.251
Dy3 0.084 0.417 0.251
Dy4 0.583 0.916 0.749
Dy5 0.249 0.249 0.749
Dy6 0.417 0.084 0.251
Y1 0.000 0.000 0.000